[1]
Tb2PaTl: relaxed, PBE.

Computed properties:
Total moment, Bohr magnetons per cell: 0.39
Energy relative to the lowest polymorph listed for this composition, eV per formula unit: 0.00

Cell and atoms, written as extended XYZ:
```
4
Lattice="3.4783 0.0000 0.0000 0.0000 3.4783 0.0000 0.0000 0.0000 9.2646" Properties=species:S:1:pos:R:3 pbc="T T T"
Tl 1.7391 1.7391 0.0000
Pa 1.7391 1.7391 4.6323
Tb 0.0000 0.0000 7.0017
Tb 0.0000 0.0000 2.2629
```

***

[2]
Pa4Ru: relaxed, PBE.

Computed properties:
Total moment, Bohr magnetons per cell: 0.00
Energy relative to the lowest polymorph listed for this composition, eV per formula unit: 0.00

Cell and atoms, written as extended XYZ:
```
10
Lattice="6.8494 -0.3662 0.0000 -2.9773 6.1793 0.0000 -1.9360 -2.9066 5.9176" Properties=species:S:1:pos:R:3 pbc="T T T"
Pa 1.7834 0.6192 4.6700
Pa 1.8201 4.7909 1.2475
Pa 0.6798 3.2856 4.7839
Pa -2.1435 5.1662 1.1337
Pa -0.6548 2.0765 1.8251
Pa -2.7449 3.4687 4.0925
Pa -1.6413 0.8022 4.2063
Pa 3.3088 1.7012 1.7113
Ru 1.2794 1.9208 0.0000
Ru 2.7681 -1.1688 2.9588
```

***

[3]
LiPuFeSn: relaxed, PBE.

Computed properties:
Total moment, Bohr magnetons per cell: 3.01
DFT total energy, eV/atom: -7.30

Cell and atoms, written as extended XYZ:
```
4
Lattice="4.6898 0.0000 0.0000 2.3449 4.0615 0.0000 2.3449 1.3538 3.8292" Properties=species:S:1:pos:R:3 pbc="T T T"
Fe 0.0000 0.0000 0.0000
Li 4.6898 2.7077 1.9146
Sn 2.3449 1.3538 0.9573
Pu 7.0348 4.0615 2.8719
```

***

[4]
Sc2TaHAu: relaxed, PBE.

Computed properties:
Total moment, Bohr magnetons per cell: 0.00
DFT total energy, eV/atom: -6.49

Cell and atoms, written as extended XYZ:
```
5
Lattice="4.4694 0.0000 0.0000 0.0000 4.4694 0.0000 0.0000 0.0000 3.9888" Properties=species:S:1:pos:R:3 pbc="T T T"
Sc 0.0000 2.2347 0.0000
Sc 2.2347 0.0000 0.0000
H 0.0000 0.0000 0.0000
Au 2.2347 2.2347 1.9944
Ta 0.0000 0.0000 1.9944
```

***

[5]
Tb6Pr10Th: relaxed, PBE.

Computed properties:
Total moment, Bohr magnetons per cell: 0.00
DFT total energy, eV/atom: -4.73

Cell and atoms, written as extended XYZ:
```
17
Lattice="-3.3172 5.7319 2.3826 -7.4658 -1.7188 -6.2595 -0.1780 -3.8843 9.0969" Properties=species:S:1:pos:R:3 pbc="T T T"
Tb -5.0671 1.8842 2.6705
Tb -2.3879 1.4655 7.4079
Tb -7.0136 2.8400 -2.3390
Tb -5.8939 -1.7555 2.5495
Tb -1.1073 0.3820 4.0716
Tb -3.7694 1.1731 -1.5379
Pr -8.2530 0.6400 4.0069
Pr -2.7675 3.6253 4.4625
Pr -4.7784 4.2228 0.2253
Pr -2.7080 -0.5113 1.2131
Pr -0.7277 -1.7778 7.0170
Pr -6.0046 -0.2098 -4.1022
Pr -4.2659 -0.2966 5.1694
Pr -6.6951 0.4253 0.0506
Pr -5.0365 -2.4406 -1.1407
Pr -2.6073 -3.1625 3.9781
Th -1.6586 2.8659 1.1913
```

***

[6]
MnTe2Au: relaxed, PBE.

Computed properties:
Total moment, Bohr magnetons per cell: 3.01
ΔE_f (raw), eV/f.u.: 0.229
Energy relative to the lowest polymorph listed for this composition, eV per formula unit: 0.59

Cell and atoms, written as extended XYZ:
```
8
Lattice="-0.3541 -1.6540 3.5772 4.9318 -5.1512 -2.2593 6.2994 2.1203 3.9847" Properties=species:S:1:pos:R:3 pbc="T T T"
Au 8.4023 -3.7314 4.3371
Au 4.8075 -2.9210 0.9775
Mn 6.3877 -4.7386 2.4905
Mn 4.5509 -5.5854 1.8986
Te 6.1409 1.0499 5.6975
Te 2.9650 0.3878 2.6842
Te 2.6261 -3.9648 2.3576
Te 6.0121 -2.4715 3.6078
```

***

[7]
Ho3Mg2Cu4: relaxed, PBE.

Computed properties:
Total moment, Bohr magnetons per cell: 0.00
DFT total energy, eV/atom: -3.88

Cell and atoms, written as extended XYZ:
```
9
Lattice="4.3556 0.0000 0.0000 -2.1778 4.7888 0.2334 0.0000 -0.8977 8.7121" Properties=species:S:1:pos:R:3 pbc="T T T"
Ho 0.0000 2.9556 5.5124
Ho 0.0000 0.0000 0.0000
Ho 2.1778 0.9355 3.4331
Mg 0.0000 2.9297 2.0748
Mg 2.1778 0.9613 6.8707
Cu 2.1778 1.9494 0.7574
Cu 0.0000 0.1122 5.4807
Cu 2.1778 3.7789 3.4648
Cu 0.0000 1.9417 8.1881
```

***

[8]
Ag2GeBi2: relaxed, PBE.

Computed properties:
Total moment, Bohr magnetons per cell: 0.00
Energy relative to the lowest polymorph listed for this composition, eV per formula unit: 0.00

Cell and atoms, written as extended XYZ:
```
10
Lattice="8.6652 0.0000 0.0000 0.0000 8.6652 0.0000 0.0000 0.0000 3.3580" Properties=species:S:1:pos:R:3 pbc="T T T"
Ge 0.0000 0.0000 0.0000
Ge 4.3326 4.3326 0.0000
Bi 2.7642 7.0967 0.0000
Bi 7.0967 5.9010 0.0000
Bi 5.9010 1.5684 0.0000
Bi 1.5684 2.7642 0.0000
Ag 1.0120 5.3446 1.6790
Ag 5.3446 7.6532 1.6790
Ag 7.6532 3.3206 1.6790
Ag 3.3206 1.0120 1.6790
```

***

[9]
LaMn2Pt2: relaxed, PBE.

Computed properties:
Total moment, Bohr magnetons per cell: 0.00
Energy relative to the lowest polymorph listed for this composition, eV per formula unit: 2.29

Cell and atoms, written as extended XYZ:
```
10
Lattice="-6.5770 3.3064 2.2356 -2.7933 -0.7350 -7.1306 -1.0467 -2.5360 0.6714" Properties=species:S:1:pos:R:3 pbc="T T T"
Mn -5.2166 0.6808 -5.5608
Mn -7.6243 2.5658 -2.1945
Mn -4.1537 1.8906 0.6658
Mn -1.7460 0.0057 -2.7005
Pt -3.7335 -1.1378 -4.1770
Pt -7.3374 0.4324 -3.8643
Pt -6.6834 1.1732 -0.0466
Pt -3.0795 -0.3970 -0.3593
La 0.0000 0.0000 0.0000
La -4.6851 1.2857 -2.4475
```

***

[10]
PrZn3CuAg: relaxed, PBE.

Computed properties:
Total moment, Bohr magnetons per cell: 0.00
DFT total energy, eV/atom: -2.64

Cell and atoms, written as extended XYZ:
```
12
Lattice="-4.6569 -3.0768 1.1332 3.1439 -5.4241 -1.8072 0.4299 1.8821 6.8771" Properties=species:S:1:pos:R:3 pbc="T T T"
Pr -2.3390 -2.7859 4.2924
Pr 1.2559 -3.8329 1.9107
Zn -0.5489 -1.0243 2.1195
Zn 0.9777 -1.6867 -0.5620
Zn -0.1623 -5.2758 -0.6786
Zn -1.3508 -3.2251 0.0046
Zn 2.1662 -3.7374 -1.2452
Zn -0.5343 -5.5945 4.0835
Cu 0.2662 -1.3622 4.5517
Cu -1.3494 -5.2565 1.6513
Ag 2.1734 -4.2133 4.6485
Ag -3.2566 -2.4055 1.5545
```

***

[11]
ErTiSi2: relaxed, PBE.

Computed properties:
Total moment, Bohr magnetons per cell: 0.00
ΔE_f (raw), eV/f.u.: -2.037

Cell and atoms, written as extended XYZ:
```
4
Lattice="4.1484 0.0000 0.0000 2.0742 3.5927 0.0000 2.0742 1.1976 5.1097" Properties=species:S:1:pos:R:3 pbc="T T T"
Si 6.2227 3.5927 4.1431
Si 2.0742 1.1976 0.9667
Ti 0.0000 0.0000 0.0000
Er 4.1484 2.3951 2.5549
```

***

[12]
Ba2In9Pd3: relaxed, PBE.

Computed properties:
Total moment, Bohr magnetons per cell: 0.00
DFT total energy, eV/atom: -3.58

Cell and atoms, written as extended XYZ:
```
28
Lattice="7.9302 -0.0437 -3.3068 -4.6776 7.2072 -0.0184 0.3594 0.2475 11.8542" Properties=species:S:1:pos:R:3 pbc="T T T"
Ba 1.7615 1.9592 7.7721
Ba 1.8504 5.4518 0.7569
Ba 5.4530 4.3597 5.5848
Ba -1.8411 3.0513 2.9441
In -0.4057 6.7865 7.3329
In 4.0176 0.6245 1.1961
In 2.2753 5.2698 6.6878
In 1.3366 2.1412 1.8411
In 0.8921 4.8250 9.5034
In 2.7198 2.5860 -0.9744
In -0.5427 3.8834 6.0714
In 4.1546 3.5276 2.4575
In 6.6404 1.0849 5.9778
In -3.0285 6.3260 2.5511
In -3.1803 7.3231 10.7767
In 6.7922 0.0879 -2.2478
In 3.5668 1.4669 4.7602
In 0.0451 5.9441 3.7688
In 3.1901 6.2860 3.8548
In 0.4217 1.1250 4.6742
In 5.1115 2.4272 8.3906
In -1.4996 4.9838 0.1383
Pd 3.9651 -0.0218 -1.6534
Pd 1.8059 3.7055 4.2645
Pd 6.0008 1.2958 3.1617
Pd -2.3889 6.1152 5.3672
Pd -0.2254 2.3974 -0.5551
Pd 3.8373 5.0136 9.0841
```

***

Which value of total moment does entry 8 give?
0.00 Bohr magnetons per cell